[1]
VASP calculation (PBE) on an optimized crystal structure of VTeW3.

Values from the calculation:
total DFT energy (no corrections)	-8.52	eV/atom
energy relative to the elements, uncorrected	1.70	eV per atom
space group	Pm-3m (221)
ΔE to the lowest computed polymorph	0	meV per atom

```
VTeW3
1.0
-2.1601 0.2960 4.0903
3.6424 -1.9859 2.0672
1.8845 4.1776 0.6929
W V Te
3 1 1
direct
0.0000 0.5000 0.0000 W
0.5000 0.0000 0.0000 W
0.0000 0.0000 0.5000 W
0.0000 0.0000 0.0000 V
0.5000 0.5000 0.5000 Te
```

[2]
VASP calculation (PBE) on an optimized crystal structure of VTe2W.

Values from the calculation:
total DFT energy (no corrections)	-6.67	eV/atom
energy relative to the elements, uncorrected	0.42	eV per atom
space group	Fm-3m (225)
ΔE to the lowest computed polymorph	0	meV per atom

```
VTe2W
1.0
0.0000 3.3619 3.3619
3.3619 0.0000 3.3619
3.3619 3.3619 0.0000
W V Te
1 1 2
direct
0.5000 0.5000 0.5000 W
0.0000 0.0000 0.0000 V
0.7500 0.7500 0.7500 Te
0.2500 0.2500 0.2500 Te
```

[3]
VASP calculation (PBE) on an optimized crystal structure of Y3VTe.

Values from the calculation:
total DFT energy (no corrections)	-6.14	eV/atom
energy relative to the elements, uncorrected	0.19	eV per atom
space group	Pm-3m (221)
ΔE to the lowest computed polymorph	0	meV per atom

```
Y3VTe
1.0
5.2846 0.0000 0.0000
0.0000 5.2846 0.0000
0.0000 0.0000 5.2846
Y Te V
3 1 1
direct
0.5000 0.0000 0.0000 Y
0.0000 0.0000 0.5000 Y
0.0000 0.5000 0.0000 Y
0.5000 0.5000 0.5000 Te
0.0000 0.0000 0.0000 V
```

[4]
VASP calculation (PBE) on an optimized crystal structure of YVTe.

Values from the calculation:
total DFT energy (no corrections)	-6.60	eV/atom
energy relative to the elements, uncorrected	-0.36	eV per atom
space group	P4/nmm (129)

```
YVTe
1.0
-3.6888 -0.4596 -1.0550
0.6646 -3.7429 -0.6933
-2.4571 -2.2056 9.5517
Te V Y
2 2 2
direct
0.5000 0.0000 0.3563 Te
0.0000 0.5000 0.6437 Te
0.0000 0.5000 0.9521 V
0.5000 0.0000 0.0479 V
0.0000 0.5000 0.2365 Y
0.5000 0.0000 0.7635 Y
```

[5]
VASP calculation (PBE) on an optimized crystal structure of YVTe2.

Values from the calculation:
total DFT energy (no corrections)	-5.87	eV/atom
energy relative to the elements, uncorrected	-0.40	eV per atom
space group	I-42d (122)
ΔE to the lowest computed polymorph	14	meV per atom

```
YVTe2
1.0
6.5045 0.0000 0.0000
0.0000 6.5045 0.0000
3.2523 3.2523 6.7910
V Y Te
2 2 4
direct
0.5000 0.5000 0.0000 V
0.2500 0.7500 0.5000 V
0.0000 0.0000 0.0000 Y
0.7500 0.2500 0.5000 Y
0.3750 0.4070 0.7500 Te
0.8750 0.8430 0.7500 Te
0.1570 0.6250 0.2500 Te
0.5930 0.1250 0.2500 Te
```

[6]
VASP calculation (PBE) on an optimized crystal structure of YVTe2.

Values from the calculation:
total DFT energy (no corrections)	-5.73	eV/atom
energy relative to the elements, uncorrected	-0.26	eV per atom
space group	R-3m (166)
ΔE to the lowest computed polymorph	156	meV per atom

```
YVTe2
1.0
2.2223 0.0000 9.3621
-1.1112 1.9246 9.3621
-1.1112 -1.9246 9.3621
Y V Te
1 1 2
direct
0.0000 0.0000 0.0000 Y
0.5000 0.5000 0.5000 V
0.1087 0.1087 0.1087 Te
0.8913 0.8913 0.8913 Te
```

[7]
VASP calculation (PBE) on an optimized crystal structure of YV3Te.

Values from the calculation:
total DFT energy (no corrections)	-6.49	eV/atom
energy relative to the elements, uncorrected	0.90	eV per atom
space group	Pm-3m (221)
ΔE to the lowest computed polymorph	0	meV per atom

```
YV3Te
1.0
-2.0378 1.9065 4.0258
-3.4442 -3.4818 -0.0945
2.8248 -2.8699 2.7890
V Te Y
3 1 1
direct
0.0000 0.5000 0.0000 V
0.0000 0.0000 0.5000 V
0.5000 0.0000 0.0000 V
0.0000 0.0000 0.0000 Te
0.5000 0.5000 0.5000 Y
```

[8]
VASP calculation (PBE) on an optimized crystal structure of YVTe2.

Values from the calculation:
total DFT energy (no corrections)	-5.76	eV/atom
energy relative to the elements, uncorrected	-0.29	eV per atom
space group	R-3m (166)
ΔE to the lowest computed polymorph	123	meV per atom

```
YVTe2
1.0
-3.1780 -7.6665 4.2067
0.5222 -8.9776 2.3877
0.5926 -6.9190 6.1925
Te V Y
2 1 1
direct
0.1005 0.1005 0.1005 Te
0.8995 0.8995 0.8995 Te
0.0000 0.0000 0.0000 V
0.5000 0.5000 0.5000 Y
```

[9]
VASP calculation (PBE) on an optimized crystal structure of YV3Te.

Values from the calculation:
total DFT energy (no corrections)	-5.56	eV/atom
energy relative to the elements, uncorrected	1.84	eV per atom
space group	Pm-3m (221)
ΔE to the lowest computed polymorph	935	meV per atom

```
YV3Te
1.0
4.8991 0.0000 0.0000
0.0000 4.8991 0.0000
0.0000 0.0000 4.8991
V Te Y
3 1 1
direct
0.0000 0.0000 0.5000 V
0.0000 0.5000 0.0000 V
0.5000 0.0000 0.0000 V
0.5000 0.5000 0.5000 Te
0.0000 0.0000 0.0000 Y
```

[10]
VASP calculation (PBE) on an optimized crystal structure of Y2VTe.

Values from the calculation:
total DFT energy (no corrections)	-6.20	eV/atom
energy relative to the elements, uncorrected	0.09	eV per atom
space group	I-42d (122)

```
Y2VTe
1.0
-6.3253 -4.0506 3.1301
3.0683 -6.9827 -2.8358
0.0328 -5.9318 2.9670
Y Te V
4 2 2
direct
0.6172 0.1250 0.2500 Y
0.1328 0.6250 0.2500 Y
0.8750 0.8672 0.7500 Y
0.3750 0.3828 0.7500 Y
0.0000 0.0000 0.0000 Te
0.7500 0.2500 0.5000 Te
0.5000 0.5000 0.0000 V
0.2500 0.7500 0.5000 V
```

[11]
VASP calculation (PBE) on an optimized crystal structure of Y3V5Te12.

Values from the calculation:
total DFT energy (no corrections)	-5.66	eV/atom
energy relative to the elements, uncorrected	-0.53	eV per atom
space group	Ia-3d (230)

```
Y3V5Te12
1.0
14.6947 0.0000 0.0000
-4.8982 13.8543 0.0000
-4.8982 -6.9271 11.9982
Te V Y
48 20 12
direct
0.6194 0.5859 0.9083 Te
0.1776 0.0859 0.9665 Te
0.0917 0.9141 0.3806 Te
0.0335 0.4141 0.8224 Te
0.5335 0.2111 0.1194 Te
0.9141 0.0917 0.8806 Te
0.1194 0.7111 0.5335 Te
0.4083 0.2889 0.3224 Te
0.2111 0.6776 0.0917 Te
0.5859 0.9665 0.6776 Te
0.4141 0.3806 0.5917 Te
0.0859 0.1776 0.4665 Te
0.0859 0.9083 0.1194 Te
0.8806 0.2889 0.4665 Te
0.8224 0.9141 0.0335 Te
0.3806 0.4141 0.0917 Te
0.4665 0.7889 0.8806 Te
0.2889 0.4083 0.8224 Te
0.6776 0.4665 0.5859 Te
0.7889 0.4665 0.3806 Te
0.8806 0.5917 0.9141 Te
0.5917 0.7111 0.6776 Te
0.3224 0.7889 0.4083 Te
0.5917 0.8806 0.4141 Te
0.5335 0.3224 0.9141 Te
0.9665 0.5859 0.1776 Te
0.5859 0.6194 0.4083 Te
0.8224 0.9083 0.2889 Te
0.9083 0.8224 0.7889 Te
0.7111 0.5917 0.1776 Te
0.1194 0.4083 0.0859 Te
0.6776 0.2111 0.5917 Te
0.9141 0.8224 0.5335 Te
0.4141 0.0335 0.3224 Te
0.0917 0.1776 0.2111 Te
0.4083 0.1194 0.5859 Te
0.7889 0.3224 0.9083 Te
0.4665 0.6776 0.0859 Te
0.9083 0.0859 0.6194 Te
0.2889 0.8806 0.9665 Te
0.6194 0.0335 0.2111 Te
0.3224 0.5335 0.4141 Te
0.7111 0.1194 0.0335 Te
0.3806 0.9665 0.7889 Te
0.0335 0.6194 0.7111 Te
0.2111 0.5335 0.6194 Te
0.1776 0.0917 0.7111 Te
0.9665 0.3806 0.2889 Te
0.5000 0.0000 0.0000 V
0.8750 0.6250 0.7500 V
0.5000 0.5000 0.0000 V
0.1250 0.3750 0.2500 V
0.0000 0.0000 0.5000 V
0.7500 0.1250 0.8750 V
0.5000 0.5000 0.5000 V
0.2500 0.3750 0.6250 V
0.3750 0.1250 0.7500 V
0.5000 0.0000 0.5000 V
0.2500 0.8750 0.1250 V
0.0000 0.5000 0.5000 V
0.3750 0.2500 0.1250 V
0.8750 0.2500 0.6250 V
0.6250 0.7500 0.8750 V
0.0000 0.5000 0.0000 V
0.6250 0.8750 0.2500 V
0.0000 0.0000 0.0000 V
0.1250 0.7500 0.3750 V
0.7500 0.6250 0.3750 V
0.6250 0.2500 0.3750 Y
0.1250 0.8750 0.7500 Y
0.2500 0.1250 0.3750 Y
0.8750 0.1250 0.2500 Y
0.3750 0.7500 0.6250 Y
0.7500 0.3750 0.1250 Y
0.8750 0.7500 0.1250 Y
0.6250 0.3750 0.7500 Y
0.7500 0.8750 0.6250 Y
0.3750 0.6250 0.2500 Y
0.2500 0.6250 0.8750 Y
0.1250 0.2500 0.8750 Y
```

[12]
VASP calculation (PBE) on an optimized crystal structure of YVTe2.

Values from the calculation:
total DFT energy (no corrections)	-5.88	eV/atom
energy relative to the elements, uncorrected	-0.42	eV per atom
space group	Fm-3m (225)
ΔE to the lowest computed polymorph	0	meV per atom

```
YVTe2
1.0
1.9390 -3.1943 3.4004
2.5324 1.7884 3.9894
-2.0223 -0.3052 4.6199
V Y Te
1 1 2
direct
0.0000 0.0000 0.0000 V
0.5000 0.5000 0.5000 Y
0.7500 0.7500 0.7500 Te
0.2500 0.2500 0.2500 Te
```